Computed, not measured: a relaxed Tl3PtBr crystal at the GGA-PBE level of DFT.

Geometry as CIF:
```
data_Tl3PtBr
_space_group_name_H-M_alt 'P 1'
_space_group_IT_number 1
_space_group_name_Hall 'P 1'
_cell_length_a 9.499
_cell_length_b 9.499
_cell_length_c 5.744
_cell_angle_alpha 90.00
_cell_angle_beta 90.00
_cell_angle_gamma 140.37
loop_
_atom_site_label
_atom_site_type_symbol
_atom_site_fract_x
_atom_site_fract_y
_atom_site_fract_z
Br1 Br 0.828 0.172 0.750
Br2 Br 0.172 0.828 0.250
Tl1 Tl 0.592 0.889 0.250
Tl2 Tl 0.111 0.408 0.250
Tl3 Tl 0.408 0.111 0.750
Tl4 Tl 0.889 0.592 0.750
Tl5 Tl 0.000 0.000 0.000
Tl6 Tl 0.000 0.000 0.500
Pt1 Pt 0.489 0.511 0.250
Pt2 Pt 0.511 0.489 0.750
```

Output
The calculation puts the uncorrected formation energy at -21 meV per atom. The value obtained for the excess energy over the best structure of this formula in the dataset is 383.0 meV/atom. The symmetry is Cmcm.



Computed, not measured: a relaxed Tl3PtBr crystal at the GGA-PBE level of DFT.

Geometry as CIF:
```
data_Tl3PtBr
_space_group_name_H-M_alt 'P 1'
_space_group_IT_number 1
_space_group_name_Hall 'P 1'
_cell_length_a 5.403
_cell_length_b 8.344
_cell_length_c 6.875
_cell_angle_alpha 90.00
_cell_angle_beta 92.40
_cell_angle_gamma 90.00
loop_
_atom_site_label
_atom_site_type_symbol
_atom_site_fract_x
_atom_site_fract_y
_atom_site_fract_z
Br1 Br 0.007 0.250 0.449
Br2 Br 0.993 0.750 0.551
Tl1 Tl 0.001 0.750 0.036
Tl2 Tl 0.485 0.978 0.723
Tl3 Tl 0.485 0.522 0.723
Tl4 Tl 0.515 0.022 0.277
Tl5 Tl 0.999 0.250 0.964
Tl6 Tl 0.515 0.478 0.277
Pt1 Pt 0.500 0.250 0.971
Pt2 Pt 0.500 0.750 0.029
```

Output
The calculation puts the uncorrected formation energy at -299 meV per atom. The value obtained for the excess energy over the best structure of this formula in the dataset is 104.9 meV/atom. The symmetry is P2_1/m.